Here is an optimized crystal structure of ZrBeIrS2 from Alexandria. Energies are from PBE.

Cell: 4.863 5.122 4.863 Å, 90.00 90.00 90.00°
Each line ends with the local moment (μB).
Positions (direct):
Ir1 0.000 0.500 0.000  0.60
Be1 0.500 0.500 0.500  -0.04
Zr1 0.000 0.000 0.000  -0.02
S1 0.000 0.000 0.500  0.10
S2 0.500 0.000 0.000  0.09

## Properties
ρ: 4.888 Mg/m³
symmetry: P4/mmm (123)
E: -0.373 Ry per atom
size of the total moment: 0.16 μB per atom